[1]
DyTmCu after structural relaxation. Source: OQMD, functional GGA-PBE.

a b c (Å): 4.7230 4.7230 4.7230
angles (deg): 60.00 60.00 60.00
Element x y z (fractional)
Cu 0.2500 0.2500 0.2500
Dy 0.7500 0.7500 0.7500
Tm 0.0000 0.0000 0.0000

Properties
For the distance to the lowest polymorph of the same formula, the calculation gives 0 meV/atom. The calculation puts the density at 8.80 g/cm³.

=====

[2]
Pm2SnPt2 after structural relaxation. Source: OQMD, functional GGA-PBE.

a b c (Å): 7.8581 7.8581 3.8224
angles (deg): 90.00 90.00 90.00
Element x y z (fractional)
Pm 0.3273 0.1727 0.5000
Pm 0.8273 0.3273 0.5000
Pm 0.1727 0.6727 0.5000
Pm 0.6727 0.8273 0.5000
Pt 0.6282 0.1282 0.0000
Pt 0.1282 0.3718 0.0000
Pt 0.8718 0.6282 0.0000
Pt 0.3718 0.8718 0.0000
Sn 0.0000 0.0000 0.0000
Sn 0.5000 0.5000 0.0000

Properties
The calculation puts the density at 11.24 g/cm³. The total energy comes out at -6.196 eV/atom.

=====

[3]
FeSi after structural relaxation. Source: OQMD, functional GGA-PBE.

a b c (Å): 2.7116 2.7116 3.5067
angles (deg): 90.00 90.00 120.00
Site moments in Bohr magnetons follow the coordinates.
Element x y z (fractional)
Fe 0.6667 0.3333 0.7500  0.74
Si 0.3333 0.6667 0.2500  -0.02

Properties
The calculation puts the density at 6.24 g/cm³. The total energy comes out at -7.205 eV/atom.

=====

[4]
NbCdSn after structural relaxation. Source: OQMD, functional GGA-PBE.

a b c (Å): 4.7104 4.7104 4.7104
angles (deg): 60.00 60.00 60.00
Site moments in Bohr magnetons follow the coordinates.
Element x y z (fractional)
Cd 0.5000 0.5000 0.5000  0.00
Nb 0.0000 0.0000 0.0000  1.78
Sn 0.2500 0.2500 0.2500  0.00

Properties
For the distance to the lowest polymorph of the same formula, the calculation gives 60 meV/atom. The calculation puts the density at 7.28 g/cm³.

=====

[5]
BaNi10P6 after structural relaxation. Source: OQMD, functional GGA-PBE.

a b c (Å): 8.7123 6.4297 8.7661
angles (deg): 90.00 90.00 111.65
Element x y z (fractional)
Ba 0.0000 0.5000 0.0000
Ba 0.0000 0.0000 0.5000
Ni 0.6501 0.0231 0.0289
Ni 0.6501 0.6270 0.0289
Ni 0.9094 0.9547 0.1187
Ni 0.5808 0.2904 0.2051
Ni 0.3238 0.4119 0.2500
Ni 0.3238 0.9119 0.2500
Ni 0.5808 0.7904 0.2949
Ni 0.9094 0.4547 0.3813
Ni 0.6501 0.1270 0.4711
Ni 0.6501 0.5231 0.4711
Ni 0.3499 0.4769 0.5289
Ni 0.3499 0.8730 0.5289
Ni 0.0906 0.5453 0.6187
Ni 0.4192 0.2096 0.7051
Ni 0.6762 0.0881 0.7500
Ni 0.6762 0.5881 0.7500
Ni 0.4192 0.7096 0.7949
Ni 0.0906 0.0453 0.8813
Ni 0.3499 0.3730 0.9711
Ni 0.3499 0.9769 0.9711
P 0.4169 0.7084 0.0743
P 0.1798 0.0899 0.1277
P 0.7804 0.1402 0.2500
P 0.7804 0.6402 0.2500
P 0.1798 0.5899 0.3723
P 0.4169 0.2084 0.4257
P 0.5831 0.7916 0.5743
P 0.8202 0.4101 0.6277
P 0.2196 0.3598 0.7500
P 0.2196 0.8598 0.7500
P 0.8202 0.9101 0.8723
P 0.5831 0.2916 0.9257

Properties
The calculation puts the density at 6.62 g/cm³. The total energy comes out at -5.939 eV/atom.

=====

[6]
Tb2NdIn3AgIr2 after structural relaxation. Source: OQMD, functional GGA-PBE.

a b c (Å): 3.9324 7.7484 7.7484
angles (deg): 120.46 90.00 90.00
Element x y z (fractional)
Ag 0.0000 0.0022 0.0022
In 0.5000 0.7342 0.0025
In 0.5000 0.2641 0.2641
In 0.5000 0.0025 0.7342
Ir 0.5000 0.6674 0.3287
Ir 0.5000 0.3287 0.6674
Nd 0.0000 0.5868 0.5868
Tb 0.0000 0.4138 0.0004
Tb 0.0000 0.0004 0.4138

Properties
The calculation puts the density at 10.60 g/cm³. The total energy comes out at -5.347 eV/atom.

=====

[7]
YPa3N6 after structural relaxation. Source: OQMD, functional GGA-PBE.

a b c (Å): 6.8062 6.8062 3.6618
angles (deg): 90.00 90.00 110.19
Element x y z (fractional)
N 0.3317 0.0717 0.0000
N 0.0717 0.3317 0.0000
N 0.9283 0.6683 0.0000
N 0.6683 0.9283 0.0000
N 0.6501 0.3499 0.5000
N 0.3499 0.6501 0.5000
Pa 0.0000 0.0000 0.0000
Pa 0.5000 0.0000 0.5000
Pa 0.0000 0.5000 0.5000
Y 0.5000 0.5000 0.0000

Properties
The calculation puts the density at 9.03 g/cm³. The total energy comes out at -9.926 eV/atom.

=====

[8]
Sm4C2IF4 after structural relaxation. Source: OQMD, functional GGA-PBE.

a b c (Å): 8.1021 8.1021 8.1424
angles (deg): 120.10 120.10 27.06
Element x y z (fractional)
C 0.4468 0.4468 0.4440
C 0.5532 0.5532 0.5560
F 0.7458 0.7458 0.1250
F 0.1850 0.1850 0.4670
F 0.8150 0.8150 0.5330
F 0.2542 0.2542 0.8750
I 0.5000 0.5000 0.0000
Sm 0.2834 0.2834 0.3066
Sm 0.0033 0.0033 0.3134
Sm 0.9967 0.9967 0.6866
Sm 0.7166 0.7166 0.6934

Properties
The calculation puts the density at 6.60 g/cm³. The total energy comes out at -6.385 eV/atom.

=====

[9]
PmTaN2O after structural relaxation. Source: OQMD, functional GGA-PBE.

a b c (Å): 7.8343 5.7248 5.7121
angles (deg): 90.00 90.00 90.00
Element x y z (fractional)
N 0.3048 0.5004 0.2311
N 0.6952 0.5004 0.2311
N 0.1952 0.0016 0.2331
N 0.8048 0.0016 0.2331
N 0.3048 0.4996 0.7311
N 0.6952 0.4996 0.7311
N 0.1952 0.9984 0.7331
N 0.8048 0.9984 0.7331
O 0.0000 0.6484 0.4852
O 0.5000 0.8517 0.4868
O 0.0000 0.3516 0.9852
O 0.5000 0.1483 0.9868
Pm 0.5000 0.2696 0.4658
Pm 0.0000 0.2304 0.4684
Pm 0.5000 0.7304 0.9658
Pm 0.0000 0.7696 0.9684
Ta 0.2500 0.7501 0.4630
Ta 0.7500 0.7501 0.4630
Ta 0.2500 0.2499 0.9630
Ta 0.7500 0.2499 0.9630

Properties
The calculation puts the density at 9.59 g/cm³. The total energy comes out at -9.534 eV/atom.

=====

[10]
CsSmZnSe3 after structural relaxation. Source: OQMD, functional GGA-PBE.

a b c (Å): 8.3969 8.3969 11.2040
angles (deg): 90.00 90.00 29.20
Element x y z (fractional)
Cs 0.7449 0.7449 0.2500
Cs 0.2551 0.2551 0.7500
Se 0.3828 0.3828 0.0641
Se 0.0568 0.0568 0.2500
Se 0.3828 0.3828 0.4359
Se 0.6172 0.6172 0.5641
Se 0.9432 0.9432 0.7500
Se 0.6172 0.6172 0.9359
Sm 0.0000 0.0000 0.0000
Sm 0.0000 0.0000 0.5000
Zn 0.4635 0.4635 0.2500
Zn 0.5365 0.5365 0.7500

Properties
The calculation puts the density at 5.05 g/cm³. The total energy comes out at -4.303 eV/atom.

=====

[11]
MgSnIr2 after structural relaxation. Source: OQMD, functional GGA-PBE.

a b c (Å): 4.3093 4.3093 3.4912
angles (deg): 90.00 90.00 90.00
Element x y z (fractional)
Ir 0.5000 0.0000 0.5000
Ir 0.0000 0.5000 0.5000
Mg 0.5000 0.5000 0.0000
Sn 0.0000 0.0000 0.0000

Properties
For the distance to the lowest polymorph of the same formula, the calculation gives 3 meV/atom. The calculation puts the density at 13.51 g/cm³.

=====

[12]
AlZn2Re after structural relaxation. Source: OQMD, functional GGA-PBE.

a b c (Å): 4.3357 4.3357 4.3357
angles (deg): 60.00 60.00 60.00
Element x y z (fractional)
Al 0.5000 0.5000 0.5000
Re 0.2500 0.2500 0.2500
Zn 0.0000 0.0000 0.0000
Zn 0.7500 0.7500 0.7500

Properties
The calculation puts the density at 9.91 g/cm³. The total energy comes out at -4.448 eV/atom.

=====

[13]
HoNi3As2 after structural relaxation. Source: OQMD, functional GGA-PBE.

a b c (Å): 4.0176 4.0176 6.4128
angles (deg): 90.00 90.00 120.00
Element x y z (fractional)
As 0.3333 0.6667 0.2796
As 0.6667 0.3333 0.7204
Ho 0.0000 0.0000 0.0000
Ni 0.6667 0.3333 0.3338
Ni 0.0000 0.0000 0.5000
Ni 0.3333 0.6667 0.6662

Properties
The calculation puts the density at 9.09 g/cm³. The total energy comes out at -5.766 eV/atom.

=====

[14]
TmNiB after structural relaxation. Source: OQMD, functional GGA-PBE.

a b c (Å): 4.0058 4.0058 4.0058
angles (deg): 60.00 60.00 60.00
Element x y z (fractional)
B 0.0000 0.0000 0.0000
Ni 0.2500 0.2500 0.2500
Tm 0.7500 0.7500 0.7500

Properties
For the distance to the lowest polymorph of the same formula, the calculation gives 0 meV/atom. The calculation puts the density at 8.71 g/cm³.

=====

[15]
PrGdZn2Si2 after structural relaxation. Source: OQMD, functional GGA-PBE.

a b c (Å): 4.1574 4.1574 8.3434
angles (deg): 90.00 90.00 120.00
Element x y z (fractional)
Gd 0.0000 0.0000 0.0000
Pr 0.0000 0.0000 0.5000
Si 0.3333 0.6667 0.2417
Si 0.6667 0.3333 0.7583
Zn 0.6667 0.3333 0.2438
Zn 0.3333 0.6667 0.7562

Properties
The calculation puts the density at 6.45 g/cm³. The total energy comes out at -4.442 eV/atom.

=====

[16]
LaY2Ga2Cu4 after structural relaxation. Source: OQMD, functional GGA-PBE.

a b c (Å): 5.5162 5.5162 8.3332
angles (deg): 98.02 98.02 44.89
Element x y z (fractional)
Cu 0.7266 0.7266 0.0779
Cu 0.9180 0.9180 0.3683
Cu 0.0820 0.0820 0.6317
Cu 0.2734 0.2734 0.9221
Ga 0.3161 0.3161 0.2342
Ga 0.6839 0.6839 0.7658
La 0.0000 0.0000 0.0000
Y 0.6255 0.6255 0.3821
Y 0.3745 0.3745 0.6179

Properties
The calculation puts the density at 6.67 g/cm³. The total energy comes out at -4.690 eV/atom.

=====

[17]
ScCdCu2 after structural relaxation. Source: OQMD, functional GGA-PBE.

a b c (Å): 4.4975 4.4975 4.4975
angles (deg): 60.00 60.00 60.00
Element x y z (fractional)
Cd 0.7500 0.7500 0.7500
Cu 0.2500 0.2500 0.2500
Cu 0.5000 0.5000 0.5000
Sc 0.0000 0.0000 0.0000

Properties
The calculation puts the density at 7.34 g/cm³. The total energy comes out at -3.740 eV/atom.

=====

[18]
LuMg2Pb after structural relaxation. Source: OQMD, functional GGA-PBE.

a b c (Å): 5.2367 5.2367 5.2367
angles (deg): 60.00 60.00 60.00
Element x y z (fractional)
Lu 0.2500 0.2500 0.2500
Mg 0.0000 0.0000 0.0000
Mg 0.7500 0.7500 0.7500
Pb 0.5000 0.5000 0.5000

Properties
The calculation puts the density at 7.04 g/cm³. The total energy comes out at -2.900 eV/atom.

=====

[19]
DyZr after structural relaxation. Source: OQMD, functional GGA-PBE.

a b c (Å): 8.9760 6.7867 5.3827
angles (deg): 90.00 90.00 100.88
Element x y z (fractional)
Dy 0.3430 0.3251 0.0000
Dy 0.9896 0.4976 0.0000
Dy 0.3409 0.8454 0.0000
Dy 0.8813 0.2101 0.5000
Dy 0.2326 0.5580 0.5000
Dy 0.8793 0.7305 0.5000
Zr 0.0026 0.0026 0.0000
Zr 0.6703 0.1574 0.0000
Zr 0.6611 0.6745 0.0000
Zr 0.2196 0.0529 0.5000
Zr 0.5611 0.3810 0.5000
Zr 0.5519 0.8981 0.5000

Properties
The calculation puts the density at 7.85 g/cm³. The total energy comes out at -6.488 eV/atom.

=====

[20]
ReI4 after structural relaxation. Source: OQMD, functional GGA-PBE.

a b c (Å): 8.4583 8.4583 12.8479
angles (deg): 107.77 107.77 89.68
Site moments in Bohr magnetons follow the coordinates.
Element x y z (fractional)
I 0.1680 0.9474 0.1111  0.04
I 0.7023 0.3965 0.1122  0.16
I 0.1694 0.4139 0.1358  0.15
I 0.7236 0.9540 0.1399  0.04
I 0.0460 0.2764 0.3601  0.05
I 0.5861 0.8306 0.3642  0.14
I 0.6035 0.2977 0.3878  0.15
I 0.0526 0.8320 0.3889  0.04
I 0.9474 0.1680 0.6111  0.04
I 0.3965 0.7023 0.6122  0.15
I 0.4139 0.1694 0.6358  0.14
I 0.9540 0.7236 0.6399  0.05
I 0.2764 0.0460 0.8601  0.04
I 0.8306 0.5861 0.8642  0.15
I 0.2977 0.6035 0.8878  0.16
I 0.8320 0.0526 0.8889  0.04
Re 0.9398 0.1925 0.1243  2.12
Re 0.8075 0.0602 0.3757  2.12
Re 0.1925 0.9398 0.6243  2.12
Re 0.0602 0.8075 0.8757  2.12

Properties
For the distance to the lowest polymorph of the same formula, the calculation gives 8 meV/atom. The calculation puts the density at 5.55 g/cm³.

=====

[21]
MgZnNiS3 after structural relaxation. Source: OQMD, functional GGA-PBE.

a b c (Å): 3.3855 6.5896 11.0925
angles (deg): 90.00 90.00 75.11
Site moments in Bohr magnetons follow the coordinates.
Element x y z (fractional)
Mg 0.1905 0.6190 0.2500  0.00
Mg 0.8095 0.3810 0.7500  0.00
Ni 0.0000 0.0000 0.0000  0.14
Ni 0.0000 0.0000 0.5000  0.14
S 0.5819 0.8362 0.0933  0.01
S 0.8300 0.3399 0.2500  0.00
S 0.5819 0.8362 0.4067  0.01
S 0.4181 0.1638 0.5933  0.01
S 0.1700 0.6601 0.7500  0.00
S 0.4181 0.1638 0.9067  0.01
Zn 0.4545 0.0910 0.2500  0.00
Zn 0.5455 0.9090 0.7500  0.00

Properties
For the distance to the lowest polymorph of the same formula, the calculation gives 0 meV/atom. The calculation puts the density at 3.40 g/cm³.

=====

[22]
Ba2TbTc2 after structural relaxation. Source: OQMD, functional GGA-PBE.

a b c (Å): 5.2646 5.2646 6.5589
angles (deg): 113.66 113.66 90.00
Element x y z (fractional)
Ba 0.6450 0.6450 0.2899
Ba 0.3550 0.3550 0.7101
Tb 0.0000 0.0000 0.0000
Tc 0.7500 0.2500 0.5000
Tc 0.2500 0.7500 0.5000

Properties
For the distance to the lowest polymorph of the same formula, the calculation gives 480 meV/atom. The calculation puts the density at 6.98 g/cm³.

=====

[23]
KTcAsO after structural relaxation. Source: OQMD, functional GGA-PBE.

a b c (Å): 3.7413 3.7413 11.7615
angles (deg): 90.00 90.00 90.00
Element x y z (fractional)
As 0.7500 0.7500 0.3543
As 0.2500 0.2500 0.6457
K 0.2500 0.2500 0.1496
K 0.7500 0.7500 0.8504
O 0.7500 0.2500 0.0000
O 0.2500 0.7500 0.0000
Tc 0.7500 0.2500 0.5000
Tc 0.2500 0.7500 0.5000

Properties
For the distance to the lowest polymorph of the same formula, the calculation gives 520 meV/atom. The calculation puts the density at 4.60 g/cm³.